[1]
CrGaOs2, optimized geometry, DFT GGA-PBE; calculated density = 15.23 g/cm³; M_tot = 1.247 μB/cell; symmetry = P4/mmm; formation enthalpy at 0 K = 23.1 meV/atom
1.0
-2.3115 -0.8611 -1.6903
1.6735 -2.1802 -1.1779
-1.8291 -3.8017 4.4381
Ga Os Cr
1 2 1
Direct
0.5000 0.5000 0.5000
0.0000 0.0000 0.2437
0.0000 0.0000 0.7563
0.5000 0.5000 0.0000

=====

[2]
Cr3GaOs, optimized geometry, DFT GGA-PBE; excess energy over the best structure of this formula in the dataset = 0 meV per atom; calculated density = 6.64 g/cm³; M_tot = 9.040 μB/cell; symmetry = Pm-3m; formation enthalpy at 0 K = 1248.6 meV/atom
1.0
4.7025 0.0000 0.0000
0.0000 4.7025 0.0000
0.0000 0.0000 4.7025
Cr Os Ga
3 1 1
Direct
0.5000 0.0000 0.0000
0.0000 0.0000 0.5000
0.0000 0.5000 0.0000
0.0000 0.0000 0.0000
0.5000 0.5000 0.5000

=====

[3]
CrGaOs2, optimized geometry, DFT GGA-PBE; calculated density = 13.16 g/cm³; M_tot = 0.000 μB/cell; symmetry = I-42d; formation enthalpy at 0 K = 685.2 meV/atom
1.0
-0.5012 -0.7667 7.0836
-3.1291 -6.3559 -0.9093
0.4117 -4.6631 3.1254
Os Ga Cr
4 2 2
Direct
0.5650 0.1250 0.2500
0.8750 0.8150 0.7500
0.1850 0.6250 0.2500
0.3750 0.4350 0.7500
0.0000 0.0000 0.0000
0.7500 0.2500 0.5000
0.2500 0.7500 0.5000
0.5000 0.5000 0.0000

=====

[4]
CrGaOs3, optimized geometry, DFT GGA-PBE; excess energy over the best structure of this formula in the dataset = 435 meV per atom; calculated density = 13.22 g/cm³; M_tot = 0.004 μB/cell; symmetry = Pm-3m; formation enthalpy at 0 K = 2095.8 meV/atom
1.0
4.4301 0.0000 0.0000
0.0000 4.4301 0.0000
0.0000 0.0000 4.4301
Os Ga Cr
3 1 1
Direct
0.5000 0.0000 0.0000
0.0000 0.5000 0.0000
0.0000 0.0000 0.5000
0.0000 0.0000 0.0000
0.5000 0.5000 0.5000

=====

[5]
CrGa2Os2, optimized geometry, DFT GGA-PBE; calculated density = 12.78 g/cm³; M_tot = 6.259 μB/cell; symmetry = P4/mbm; formation enthalpy at 0 K = 276.2 meV/atom
1.0
7.1008 0.0000 0.0000
0.0000 7.1008 0.0000
0.0000 0.0000 2.9465
Os Ga Cr
4 4 2
Direct
0.8344 0.3344 0.5000
0.6656 0.8344 0.5000
0.1656 0.6656 0.5000
0.3344 0.1656 0.5000
0.1339 0.3661 0.0000
0.8661 0.6339 0.0000
0.6339 0.1339 0.0000
0.3661 0.8661 0.0000
0.0000 0.0000 0.0000
0.5000 0.5000 0.0000

=====

[6]
Cr2GaOs, optimized geometry, DFT GGA-PBE; calculated density = 10.03 g/cm³; M_tot = 4.228 μB/cell; symmetry = I-42d; formation enthalpy at 0 K = 694.3 meV/atom
1.0
6.9172 0.0000 0.0000
0.0000 6.9172 0.0000
3.4586 3.4586 2.5189
Cr Os Ga
4 2 2
Direct
0.8750 0.9101 0.7500
0.0899 0.6250 0.2500
0.3750 0.3399 0.7500
0.6601 0.1250 0.2500
0.7500 0.2500 0.5000
0.0000 0.0000 0.0000
0.5000 0.5000 0.0000
0.2500 0.7500 0.5000

=====

Volume for every record listed, in sequence, given in Å³/cell: 55; 104; 127; 87; 149; 121.
DOS(E_F) for every record listed, in sequence, given in states/eV/f.u.: 1.93; 5.01; 3.60; 8.79; 3.88; 4.76.